ScSn2Pb: optimized geometry, PBE.

Values from the calculation:
ΔH_f (0 K): -208 meV per atom
Space group: No. 123
Fermi-level density of states: 2.86 states/eV/cell
Crystal system: tetragonal

a = 4.668 Å, b = 4.704 Å, c = 4.704 Å
α = 90.00°, β = 90.00°, γ = 90.00°
Positions (direct):
Sn1 0.000 0.000 0.500
Sn2 0.000 0.500 0.000
Sc1 0.500 0.000 0.000
Pb1 0.500 0.500 0.500

---

Sr2LiGa3Pd4: optimized geometry, PBE.

Values from the calculation:
ΔH_f (0 K): -693 meV per atom
Space group: No. 115
Fermi-level density of states: 6.44 states/eV/cell
Crystal system: tetragonal

a = 4.393 Å, b = 4.393 Å, c = 10.512 Å
α = 90.00°, β = 90.00°, γ = 90.00°
Positions (direct):
Pd1 0.500 0.000 0.633
Pd2 0.500 0.500 0.000
Li1 0.500 0.500 0.500
Ga1 0.000 0.500 0.124
Sr1 0.000 0.500 0.751
Ga2 0.000 0.000 0.500
Pd3 0.000 0.500 0.367
Pd4 0.000 0.000 0.000
Ga3 0.500 0.000 0.876
Sr2 0.500 0.000 0.249

---

Li2La2PmMg5: optimized geometry, PBE.

Values from the calculation:
ΔH_f (0 K): -55 meV per atom
Space group: No. 127
Fermi-level density of states: 23.15 states/eV/cell
Crystal system: tetragonal

a = 4.434 Å, b = 10.999 Å, c = 10.999 Å
α = 90.00°, β = 90.00°, γ = 90.00°
Positions (direct):
La1 0.000 0.818 0.682
La2 0.000 0.182 0.318
Mg1 0.500 0.000 0.500
Li1 0.000 0.887 0.387
Mg2 0.500 0.283 0.559
Mg3 0.500 0.559 0.717
La3 0.000 0.318 0.818
Pm1 0.000 0.000 0.000
Li2 0.000 0.113 0.613
Mg4 0.500 0.217 0.059
Mg5 0.500 0.500 0.000
Pm2 0.000 0.500 0.500
Mg6 0.500 0.941 0.217
Li3 0.000 0.387 0.113
Mg7 0.500 0.059 0.783
Mg8 0.500 0.441 0.283
Li4 0.000 0.613 0.887
Mg9 0.500 0.717 0.441
Mg10 0.500 0.783 0.941
La4 0.000 0.682 0.182

---

Sr2MgCr: optimized geometry, PBE.

Values from the calculation:
ΔH_f (0 K): 447 meV per atom
Space group: No. 119
Fermi-level density of states: 3.10 states/eV/cell
Crystal system: tetragonal

a = 6.288 Å, b = 6.288 Å, c = 6.288 Å
α = 132.10°, β = 132.10°, γ = 70.08°
Site moments in Bohr magnetons follow the coordinates.
Positions (direct):
Sr1 0.000 0.000 0.000  -0.01
Mg1 0.750 0.250 0.500  -0.02
Sr2 0.250 0.750 0.500  0.01
Cr1 0.500 0.500 0.000  3.98

---

La2Te: optimized geometry, PBE.

Values from the calculation:
Space group: No. 63
Fermi-level density of states: 15.15 states/eV/cell
Raw formation energy: -3.09 eV per formula unit
Crystal system: orthorhombic

a = 4.156 Å, b = 14.752 Å, c = 6.533 Å
α = 90.00°, β = 90.00°, γ = 90.00°
Positions (direct):
Te1 0.500 0.137 0.750
Te2 0.500 0.863 0.250
La1 0.000 0.000 0.000
Te3 0.000 0.637 0.750
La2 0.500 0.500 0.000
La3 0.500 0.195 0.250
La4 0.500 0.500 0.500
La5 0.000 0.695 0.250
La6 0.000 0.000 0.500
La7 0.000 0.305 0.750
Te4 0.000 0.363 0.250
La8 0.500 0.805 0.750

---

CuHgSe2: optimized geometry, PBE.

Values from the calculation:
Space group: No. 15
Fermi-level density of states: 3.34 states/eV/cell
Raw formation energy: -0.01 eV per formula unit
Crystal system: monoclinic

a = 7.803 Å, b = 5.913 Å, c = 5.913 Å
α = 93.34°, β = 123.19°, γ = 56.81°
Positions (direct):
Se1 0.377 0.518 0.724
Se2 0.123 0.224 0.018
Hg1 0.750 0.886 0.386
Se3 0.623 0.482 0.276
Hg2 0.250 0.114 0.614
Cu1 0.250 0.769 0.269
Cu2 0.750 0.231 0.731
Se4 0.877 0.776 0.982

---

What did the first record say?
ScSn2Pb: optimized geometry, PBE.

Values from the calculation:
ΔH_f (0 K): -208 meV per atom
Space group: No. 123
Fermi-level density of states: 2.86 states/eV/cell
Crystal system: tetragonal

a = 4.668 Å, b = 4.704 Å, c = 4.704 Å
α = 90.00°, β = 90.00°, γ = 90.00°
Positions (direct):
Sn1 0.000 0.000 0.500
Sn2 0.000 0.500 0.000
Sc1 0.500 0.000 0.000
Pb1 0.500 0.500 0.500

---

Repeat the sixth record exactly.
CuHgSe2: optimized geometry, PBE.

Values from the calculation:
Space group: No. 15
Fermi-level density of states: 3.34 states/eV/cell
Raw formation energy: -0.01 eV per formula unit
Crystal system: monoclinic

a = 7.803 Å, b = 5.913 Å, c = 5.913 Å
α = 93.34°, β = 123.19°, γ = 56.81°
Positions (direct):
Se1 0.377 0.518 0.724
Se2 0.123 0.224 0.018
Hg1 0.750 0.886 0.386
Se3 0.623 0.482 0.276
Hg2 0.250 0.114 0.614
Cu1 0.250 0.769 0.269
Cu2 0.750 0.231 0.731
Se4 0.877 0.776 0.982

---

Question: Which value of Fermi-level density of states does entry 4 give?
Answer: 3.10 states/eV/cell